No. 1
The following is a PBE-GGA calculation of a relaxed HfZrPd crystal, from the Open Quantum Materials Database.

abc: 3.3211 3.3211 10.7277
angles: 90.00 90.00 90.00
Atoms (fractional coordinates):
Hf (0.0000, 0.0000, 0.1556)
Hf (0.0000, 0.0000, 0.8444)
Zr (0.5000, 0.5000, 0.3402)
Zr (0.5000, 0.5000, 0.6598)
Pd (0.0000, 0.0000, 0.5000)
Pd (0.5000, 0.5000, 0.0000)

* formation energy from the elements: -510.2 meV per atom
* distance to the lowest polymorph of the same formula: 0.004 eV per atom

***

No. 2
The following is a PBE-GGA calculation of a relaxed Hf2Zr2Pd crystal, from the Open Quantum Materials Database.

abc: 7.8604 7.8604 7.8604
angles: 151.33 151.33 40.99
Atoms (fractional coordinates):
Hf (0.0917, 0.0917, 0.0000)
Hf (0.9083, 0.9083, 0.0000)
Zr (0.2500, 0.7500, 0.5000)
Zr (0.7500, 0.2500, 0.5000)
Pd (0.5000, 0.5000, 0.0000)

* formation energy from the elements: 508.6 meV per atom
* distance to the lowest polymorph of the same formula: 0.043 eV per atom

***

No. 3
The following is a PBE-GGA calculation of a relaxed HfZrPd crystal, from the Open Quantum Materials Database.

abc: 5.9117 5.9117 5.9117
angles: 147.50 147.50 46.63
Atoms (fractional coordinates):
Hf (0.0000, 0.0000, 0.0000)
Zr (0.6850, 0.6850, 0.0000)
Pd (0.3507, 0.3507, 0.0000)

* formation energy from the elements: -513.7 meV per atom
* distance to the lowest polymorph of the same formula: 0.000 eV per atom

***

No. 4
The following is a PBE-GGA calculation of a relaxed Hf2Zr2Pd crystal, from the Open Quantum Materials Database.

abc: 7.6683 7.6683 7.6683
angles: 149.93 149.93 43.04
Atoms (fractional coordinates):
Hf (0.2500, 0.7500, 0.5000)
Hf (0.7500, 0.2500, 0.5000)
Zr (0.0919, 0.0919, 0.0000)
Zr (0.9081, 0.9081, 0.0000)
Pd (0.5000, 0.5000, 0.0000)

* formation energy from the elements: 465.2 meV per atom
* distance to the lowest polymorph of the same formula: 0.000 eV per atom

***

No. 5
The following is a PBE-GGA calculation of a relaxed Hf2ZrPd crystal, from the Open Quantum Materials Database.

abc: 4.8181 4.8181 4.8181
angles: 60.00 60.00 60.00
Atoms (fractional coordinates):
Hf (0.0000, 0.0000, 0.0000)
Hf (0.2500, 0.2500, 0.2500)
Zr (0.5000, 0.5000, 0.5000)
Pd (0.7500, 0.7500, 0.7500)

* formation energy from the elements: -122.9 meV per atom

***

No. 6
The following is a PBE-GGA calculation of a relaxed HfZr2Pd2 crystal, from the Open Quantum Materials Database.

abc: 7.2199 7.2199 7.2199
angles: 148.38 148.38 45.32
Atoms (fractional coordinates):
Hf (0.0000, 0.0000, 0.0000)
Zr (0.3912, 0.3912, 0.0000)
Zr (0.6088, 0.6088, 0.0000)
Pd (0.2500, 0.7500, 0.5000)
Pd (0.7500, 0.2500, 0.5000)

* formation energy from the elements: -67.8 meV per atom

***

Question: Which of these has the highest formation energy from the elements?
Answer: number 2

***

Question: Which of these has the lowest formation energy from the elements?
Answer: number 3

***

Copy entry 1 word for word.
The following is a PBE-GGA calculation of a relaxed HfZrPd crystal, from the Open Quantum Materials Database.

abc: 3.3211 3.3211 10.7277
angles: 90.00 90.00 90.00
Atoms (fractional coordinates):
Hf (0.0000, 0.0000, 0.1556)
Hf (0.0000, 0.0000, 0.8444)
Zr (0.5000, 0.5000, 0.3402)
Zr (0.5000, 0.5000, 0.6598)
Pd (0.0000, 0.0000, 0.5000)
Pd (0.5000, 0.5000, 0.0000)

* formation energy from the elements: -510.2 meV per atom
* distance to the lowest polymorph of the same formula: 0.004 eV per atom